*1*
Material: ZrGaFePt
Method: DFT, GGA-PBE
State: optimized geometry

Structure (POSCAR):
```
ZrGaFePt
1.0
0.000 3.155 3.155
3.155 0.000 3.155
3.155 3.155 0.000
Pt Zr Fe Ga
1 1 1 1
Cartesian
1.577 1.577 1.577
3.155 3.155 3.155
4.732 4.732 4.732
0.000 0.000 0.000
```

*2*
Material: ZrGaFePt
Method: DFT, GGA-PBE
State: optimized geometry

Structure (POSCAR):
```
ZrGaFePt
1.0
0.000 3.210 3.210
3.210 0.000 3.210
3.210 3.210 0.000
Zr Fe Pt Ga
1 1 1 1
Cartesian
1.605 1.605 1.605
4.815 4.815 4.815
3.210 3.210 3.210
0.000 0.000 0.000
```

Which of them is least stable? Easy: *2*.

*1*
Material: ZnGaFeRe
Method: DFT, GGA-PBE
State: optimized geometry

Structure (POSCAR):
```
ZnGaFeRe
1.0
-1.736 1.851 3.405
-3.570 2.263 -0.403
-3.645 -1.482 1.595
Ga Re Zn Fe
1 1 1 1
Cartesian
0.000 0.000 0.000
-2.238 0.658 1.149
-4.475 1.316 2.299
-6.713 1.974 3.448
```

*2*
Material: ZnGaFeRe
Method: DFT, GGA-PBE
State: optimized geometry

Structure (POSCAR):
```
ZnGaFeRe
1.0
2.151 -1.160 3.468
-1.872 -2.405 2.952
1.186 -4.042 0.508
Ga Fe Re Zn
1 1 1 1
Cartesian
0.000 0.000 0.000
1.099 -5.706 5.196
0.733 -3.804 3.464
0.366 -1.902 1.732
```

Which of them is least stable? Easy: *2*.

*1*
Material: ZrGaFeRe
Method: DFT, GGA-PBE
State: optimized geometry

Structure (POSCAR):
```
ZrGaFeRe
1.0
-3.187 -2.926 -0.998
-4.269 1.190 0.269
-2.401 0.508 -3.700
Fe Ga Zr Re
1 1 1 1
Cartesian
-7.393 -0.920 -3.321
0.000 0.000 0.000
-4.928 -0.614 -2.214
-2.464 -0.307 -1.107
```

*2*
Material: ZrGaFeRe
Method: DFT, GGA-PBE
State: optimized geometry

Structure (POSCAR):
```
ZrGaFeRe
1.0
0.000 3.181 3.181
3.181 0.000 3.181
3.181 3.181 0.000
Fe Zr Re Ga
1 1 1 1
Cartesian
4.771 4.771 4.771
1.590 1.590 1.590
3.181 3.181 3.181
0.000 0.000 0.000
```

Which of them is least stable? Easy: *2*.